! PBE-GGA Rb2LaGaI6, relaxed; values from VASP
&SYSTEM
  ibrav = 0, nat = 20, ntyp = 4
/
ATOMIC_SPECIES
Rb 85.47 Rb.upf
La 138.91 La.upf
Ga 69.72 Ga.upf
I 126.90 I.upf
CELL_PARAMETERS angstrom
8.526 0.000 0.038
0.000 9.074 0.000
0.131 0.000 12.357
ATOMIC_POSITIONS crystal
Rb 0.032 0.917 0.253
Rb 0.532 0.583 0.753
Rb 0.968 0.083 0.747
Rb 0.468 0.417 0.247
La 0.500 0.000 0.500
La 0.000 0.500 0.000
Ga 0.500 0.000 0.000
Ga 0.000 0.500 0.500
I 0.303 0.691 0.053
I 0.803 0.809 0.553
I 0.697 0.309 0.947
I 0.197 0.191 0.447
I 0.315 0.704 0.446
I 0.815 0.796 0.946
I 0.685 0.296 0.554
I 0.185 0.204 0.054
I 0.891 0.527 0.246
I 0.391 0.973 0.746
I 0.109 0.473 0.754
I 0.609 0.027 0.254
! - mass density (g cm⁻³) = 3.96
! - distance to the lowest polymorph of the same formula (kJ/mol of formula units) = 0
! - V (A^3/atom) = 47.8
! - E_tot (eV per atom) = -3.2094
! - formation energy from raw total energies (eV per formula unit) = -12.90